No. 1
4
Lattice="-3.2262 0.1451 -0.7008 0.3336 -2.5559 -2.0649 -1.3701 -4.5190 5.3722" Properties=species:S:1:pos:R:3 comment="BaCu2Rh PBE optimized geometry" polymorph_energy_mev_per_atom=361 n_ef_per_ev_atom=1.005 spacegroup="No. 99" crystal_system=tetragonal e_form_ev_per_atom=0.261 pbc="T T T"
Cu -1.7799 -2.3059 -0.0747
Rh -0.5925 -1.9543 2.3232
Cu -0.1170 -0.3857 0.4586
Ba -2.4584 -4.5435 2.5854

No. 2
4
Lattice="-4.7116 -1.5503 2.3249 -3.9225 -2.3177 -3.0413 -1.1391 -5.3251 0.5940" Properties=species:S:1:pos:R:3 comment="Ba2CuRh PBE optimized geometry" polymorph_energy_mev_per_atom=212 n_ef_per_ev_atom=0.567 spacegroup="No. 225" crystal_system=cubic e_form_ev_per_atom=0.021 pbc="T T T"
Ba -7.3299 -6.8948 -0.0918
Ba -2.4433 -2.2983 -0.0306
Rh -4.8866 -4.5966 -0.0612
Cu 0.0000 0.0000 0.0000

No. 3
4
Lattice="4.2935 0.0000 0.0000 0.0000 4.2910 0.0000 0.0000 0.0000 4.2157" Properties=species:S:1:pos:R:3 comment="BaCu2Rh PBE optimized geometry" polymorph_energy_mev_per_atom=472 n_ef_per_ev_atom=0.453 spacegroup="No. 123" crystal_system=tetragonal e_form_ev_per_atom=0.372 pbc="T T T"
Ba 0.0000 2.1455 2.1078
Rh 2.1467 0.0000 2.1078
Cu 2.1467 2.1455 0.0000
Cu 0.0000 0.0000 0.0000

No. 4
10
Lattice="7.2139 0.0000 0.0000 0.0000 7.2139 0.0000 0.0000 0.0000 4.7635" Properties=species:S:1:pos:R:3 comment="Ba2CuRh2 PBE optimized geometry" polymorph_energy_mev_per_atom=168 n_ef_per_ev_atom=0.898 spacegroup="No. 127" crystal_system=tetragonal e_form_ev_per_atom=0.062 pbc="T T T"
Rh 2.6483 6.2552 0.0000
Rh 4.5656 0.9587 0.0000
Ba 2.3067 1.3003 2.3817
Ba 1.3003 4.9072 2.3817
Rh 6.2552 4.5656 0.0000
Cu 0.0000 0.0000 0.0000
Cu 3.6069 3.6069 0.0000
Ba 4.9072 5.9136 2.3817
Rh 0.9587 2.6483 0.0000
Ba 5.9136 2.3067 2.3817

No. 5
10
Lattice="-1.9582 1.0912 -3.7885 5.5522 -3.4013 -3.8496 -7.5074 -8.6878 1.3783" Properties=species:S:1:pos:R:3 comment="Ba3CuRh PBE optimized geometry" polymorph_energy_mev_per_atom=0 n_ef_per_ev_atom=0.484 spacegroup="No. 11" crystal_system=monoclinic e_form_ev_per_atom=-0.104 pbc="T T T"
Cu -3.7097 -7.3787 -4.0441
Ba -3.2912 -3.7737 -3.2219
Ba -4.8938 -7.0858 -0.7901
Rh -2.2249 -9.0398 -5.2898
Ba 0.9805 -3.9121 -5.4698
Ba -3.1496 -10.4386 -2.6573
Cu -0.2037 -3.6191 -2.2158
Ba -0.7638 -0.5593 -3.6025
Rh -1.6884 -1.9581 -0.9700
Ba -0.6222 -7.2242 -3.0380

No. 6
4
Lattice="3.7982 0.0000 0.0000 0.0000 3.8815 -0.0188 0.0000 3.9121 7.9305" Properties=species:S:1:pos:R:3 comment="Ba2CuRh PBE optimized geometry" polymorph_energy_mev_per_atom=205 n_ef_per_ev_atom=0.355 spacegroup="No. 10" crystal_system=monoclinic e_form_ev_per_atom=0.015 pbc="T T T"
Cu 1.8991 1.9484 1.9779
Ba 0.0000 3.8986 4.0912
Ba 0.0000 3.9102 7.7952
Rh 1.8991 5.8452 5.9338

No. 7
4
Lattice="-3.0116 8.2254 -0.3791 -6.6584 5.6707 -0.6162 -4.7954 6.5352 3.3415" Properties=species:S:1:pos:R:3 comment="Ba2CuRh PBE optimized geometry" polymorph_energy_mev_per_atom=0 n_ef_per_ev_atom=0.748 spacegroup="No. 160" crystal_system=trigonal e_form_ev_per_atom=-0.190 pbc="T T T"
Ba -0.6353 0.8973 0.1030
Cu -6.6292 9.3632 1.0752
Rh -11.4528 16.1763 1.8576
Ba -2.9809 4.2103 0.4835

No. 8
9
Lattice="4.4960 0.0000 0.0000 -2.2480 5.5931 -1.1435 0.0000 -0.4417 8.7026" Properties=species:S:1:pos:R:3 comment="Ba3Cu2Rh4 PBE optimized geometry" n_ef_per_ev_atom=0.940 spacegroup="No. 12" crystal_system=monoclinic e_form_ev_per_atom=-0.114 pbc="T T T"
Rh 0.0000 2.2914 7.4386
Cu 0.0000 3.6293 1.1863
Ba 2.2480 1.2377 2.9992
Rh 2.2480 4.5219 2.2131
Rh 2.2480 2.8600 0.1205
Cu 2.2480 1.5221 6.3728
Ba 0.0000 3.9136 4.5600
Rh 0.0000 0.6295 5.3460
Ba 0.0000 0.0000 0.0000

No. 9
8
Lattice="-3.0304 -3.3348 1.5045 3.0068 -1.1573 3.4910 -3.8273 3.5743 7.7135" Properties=species:S:1:pos:R:3 comment="BaCu2Rh PBE optimized geometry" polymorph_energy_mev_per_atom=205 n_ef_per_ev_atom=0.653 spacegroup="No. 141" crystal_system=tetragonal e_form_ev_per_atom=0.105 pbc="T T T"
Rh -0.4161 0.0855 6.8512
Ba -3.4347 -1.0032 5.8579
Rh -0.0118 -2.2460 2.4978
Cu -3.6434 -0.9603 9.2828
Cu -1.7167 -0.5009 2.9287
Cu -2.1270 0.7067 8.5320
Ba 0.0000 0.0000 0.0000
Cu -0.2146 -1.0809 4.6748

No. 10
4
Lattice="4.3468 -0.0129 0.0783 2.1839 3.7585 0.0783 2.0866 1.1967 5.5124" Properties=species:S:1:pos:R:3 comment="BaCu2Rh PBE optimized geometry" polymorph_energy_mev_per_atom=4 n_ef_per_ev_atom=0.470 spacegroup="No. 12" crystal_system=monoclinic e_form_ev_per_atom=-0.096 pbc="T T T"
Cu 4.2920 2.4616 3.8594
Ba 2.1543 1.2356 1.4172
Cu 2.1033 1.2063 4.4875
Rh 6.4630 3.7067 4.2517

No. 11
4
Lattice="-3.6934 0.3482 3.7683 -2.6919 -4.3076 1.4699 0.8570 -2.1605 4.7498" Properties=species:S:1:pos:R:3 comment="Ba2CuRh PBE optimized geometry" polymorph_energy_mev_per_atom=421 n_ef_per_ev_atom=0.341 spacegroup="No. 216" crystal_system=cubic e_form_ev_per_atom=0.231 pbc="T T T"
Cu -2.7641 -3.0599 4.9940
Ba -1.3821 -1.5300 2.4970
Ba 0.0000 0.0000 0.0000
Rh -4.1462 -4.5899 7.4910

No. 12
11
Lattice="0.9450 5.2584 -6.6642 6.6204 -4.6688 -2.7451 -5.1543 -6.9312 -0.7263" Properties=species:S:1:pos:R:3 comment="Ba8Cu2Rh PBE optimized geometry" n_ef_per_ev_atom=0.896 spacegroup="No. 12" crystal_system=monoclinic e_form_ev_per_atom=-0.052 pbc="T T T"
Ba -2.4386 -3.7772 -6.1259
Cu 2.2974 -2.8464 -1.9202
Rh 0.0000 0.0000 0.0000
Ba 5.3330 0.1252 -7.4184
Ba 3.4747 -4.1240 -8.2350
Ba -2.9220 -6.4668 -2.7173
Ba -1.0637 -2.2176 -1.9006
Ba 4.8497 -2.5644 -4.0098
Cu 0.1136 -3.4951 -8.2154
Ba 1.1081 -1.0776 -6.1668
Ba 1.3029 -5.2640 -3.9688